First-principles (GGA-PBE) data for a geometry-optimized UVBr2 structure, as listed in the Alexandria database. Values from VASP.

Computed properties:
The calculation puts the density of states at the Fermi level at 1.605 states/eV/atom. For the formation energy from raw total energies, the calculation gives 35 meV/atom.

```
&SYSTEM
  ibrav = 0, nat = 12, ntyp = 3
/
ATOMIC_SPECIES
U 238.03 U.upf
V 50.94 V.upf
Br 79.90 Br.upf
CELL_PARAMETERS angstrom
3.213 0.000 0.000
-1.606 2.782 0.000
0.000 0.000 28.572
ATOMIC_POSITIONS crystal
U 0.000 0.000 0.000
U 0.333 0.667 0.667
U 0.667 0.333 0.333
V 0.000 0.000 0.500
V 0.333 0.667 0.167
V 0.667 0.333 0.833
Br 0.000 0.000 0.105
Br 0.000 0.000 0.895
Br 0.333 0.667 0.562
Br 0.333 0.667 0.772
Br 0.667 0.333 0.228
Br 0.667 0.333 0.438
```